1.
{"formula": "Ge2TeF2", "functional": "PBE", "state": "relaxed", "lattice": [[-2.2941, 2.2941, 4.4655], [2.2941, -2.2941, 4.4655], [2.2941, 2.2941, -4.4655]], "species": ["Ge", "Ge", "Te", "F", "F"], "frac_coords": [[0.2500, 0.7500, 0.5000], [0.7500, 0.2500, 0.5000], [0.0000, 0.0000, 0.0000], [0.3411, 0.3411, 0.0000], [0.6589, 0.6589, 0.0000]], "mass_density_kg_m3": 5491, "sg": "No. 139", "relative_energy_mev_per_atom": 0}

2.
{"formula": "Ge2TeF2", "functional": "PBE", "state": "relaxed", "lattice": [[7.7795, 0.0000, 0.0000], [0.0000, 7.7795, 0.0000], [0.0000, 0.0000, 2.9625]], "species": ["Ge", "Ge", "Ge", "Ge", "Te", "Te", "F", "F", "F", "F"], "frac_coords": [[0.1552, 0.3448, 0.0000], [0.3448, 0.8448, 0.0000], [0.6552, 0.1552, 0.0000], [0.8448, 0.6552, 0.0000], [0.0000, 0.0000, 0.5000], [0.5000, 0.5000, 0.5000], [0.1119, 0.6119, 0.5000], [0.3881, 0.1119, 0.5000], [0.6119, 0.8881, 0.5000], [0.8881, 0.3881, 0.5000]], "mass_density_kg_m3": 5758, "sg": "No. 127", "relative_energy_mev_per_atom": 146}

3.
{"formula": "ZnGeTeF2", "functional": "PBE", "state": "relaxed", "lattice": [[4.0411, 0.0000, 0.0000], [0.0000, 4.0411, 0.0000], [0.0000, 0.0000, 6.8035]], "species": ["Zn", "Ge", "Te", "F", "F"], "frac_coords": [[0.0000, 0.0000, 0.0000], [0.0000, 0.0000, 0.5000], [0.5000, 0.5000, 0.0000], [0.0000, 0.5000, 0.5000], [0.5000, 0.0000, 0.5000]], "mass_density_kg_m3": 4538, "sg": "No. 123"}

4.
{"formula": "ThGeF", "functional": "PBE", "state": "relaxed", "lattice": [[5.0559, -2.0359, 0.0000], [5.0559, 2.0359, 0.0000], [-2.9619, 0.0000, 6.6789]], "species": ["Th", "Th", "Ge", "Ge", "F", "F"], "frac_coords": [[0.1926, 0.1926, 0.2276], [0.8074, 0.8074, 0.7724], [0.4437, 0.4437, 0.1215], [0.5563, 0.5563, 0.8785], [0.1953, 0.1953, 0.5708], [0.8047, 0.8047, 0.4292]], "mass_density_kg_m3": 7818, "sg": "No. 12", "relative_energy_mev_per_atom": 0}

5.
{"formula": "ThGeF", "functional": "PBE", "state": "relaxed", "lattice": [[4.1502, 0.0000, 0.0000], [-2.0751, 3.5941, 0.0000], [0.0000, 0.0000, 4.2780]], "species": ["Th", "Ge", "F"], "frac_coords": [[0.0000, 0.0000, 0.0000], [0.6667, 0.3333, 0.5000], [0.3333, 0.6667, 0.0000]], "mass_density_kg_m3": 8423, "sg": "No. 187", "relative_energy_mev_per_atom": 122}

6.
{"formula": "Ti2GeF", "functional": "PBE", "state": "relaxed", "lattice": [[0.0000, 3.0844, 3.0844], [3.0844, 0.0000, 3.0844], [3.0844, 3.0844, 0.0000]], "species": ["Ti", "Ti", "Ge", "F"], "frac_coords": [[0.2500, 0.2500, 0.2500], [0.7500, 0.7500, 0.7500], [0.0000, 0.0000, 0.0000], [0.5000, 0.5000, 0.5000]], "mass_density_kg_m3": 5302, "sg": "No. 225", "relative_energy_mev_per_atom": 0}

Formation energy without anion corrections per entry: -0.878, -0.732, -1.017, -1.940, -1.818, -0.850 eV/atom